Entry 1:
VICl3 | PBE | optimized geometry

```
5
Lattice="5.5564 0.0000 0.0000 0.0000 5.5564 0.0000 0.0000 0.0000 5.5564" Properties=species:S:1:pos:R:3 pbc="T T T"
V 0.0000 0.0000 0.0000
I 2.7782 2.7782 2.7782
Cl 0.0000 2.7782 2.7782
Cl 2.7782 0.0000 2.7782
Cl 2.7782 2.7782 0.0000
```

Results
N(E_F), states/eV/cell: 6.70
Excess energy over the best structure of this formula in the dataset, kJ per mole of atoms: 148.69
Space-group type: No. 221
Raw total energy, eV/atom: -2.66
Energy relative to the elements, uncorrected, eV per atom: 0.584

Entry 2:
V2ICl | PBE | optimized geometry

```
8
Lattice="-2.3843 2.3843 7.7181 2.3843 -2.3843 7.7181 2.3843 2.3843 -7.7181" Properties=species:S:1:pos:R:3 pbc="T T T"
V 3.5765 0.6563 -1.9295
V 0.6563 1.1922 1.9295
V -1.1922 1.7280 5.7886
V 1.7280 1.1922 9.6476
I 2.3843 0.0000 3.8590
I 0.0000 0.0000 7.7181
Cl 0.0000 0.0000 0.0000
Cl 0.0000 2.3843 3.8590
```

Results
N(E_F), states/eV/cell: 6.90
Excess energy over the best structure of this formula in the dataset, kJ per mole of atoms: 0.00
Space-group type: No. 122
Raw total energy, eV/atom: -5.05
Energy relative to the elements, uncorrected, eV per atom: 0.356